The following is a DFT calculation (PBE) of a geometry-optimized CaPrSiHg structure.

## Properties
- ΔE_f (raw): -0.445 eV/atom
- Symmetry: F-43m (216)
- Total magnetization: 0.000 μB/cell

Cell lengths 5.2766, 5.2766, 5.2766 Å; angles 60.00, 60.00, 60.00 degrees
Fractional positions:
1 Ca 0.0000 0.0000 0.0000
2 Pr 0.5000 0.5000 0.5000
3 Si 0.7500 0.7500 0.7500
4 Hg 0.2500 0.2500 0.2500